No. 1
Material: La2Dy4C
Method: DFT, PBE
State: optimized geometry

abc: 9.6933 9.6933 9.6933
angles: 150.74 150.74 41.86
Positions (direct):
La 0.1777 0.1777 0.0000
La 0.8223 0.8223 0.0000
Dy 0.0000 0.5000 0.5000
Dy 0.3688 0.3688 0.0000
Dy 0.5000 0.0000 0.5000
Dy 0.6312 0.6312 0.0000
C 0.5000 0.5000 0.0000

Computed properties:
The value obtained for the energy is -5.2595 eV per atom. Its energy relative to the elements is 0.7 eV/f.u.


No. 2
Material: LaDyC
Method: DFT, PBE
State: optimized geometry

abc: 6.9500 6.9500 6.3420
angles: 101.07 101.07 30.56
Positions (direct):
La 0.1385 0.1385 0.3666
La 0.8615 0.8615 0.6334
Dy 0.3508 0.3508 0.1243
Dy 0.6492 0.6492 0.8757
C 0.2473 0.2473 0.7596
C 0.7527 0.7527 0.2404

Computed properties:
The calculation puts the energy above the lowest structure with this stoichiometry at 0.0 meV per atom. The value obtained for the energy is -6.4317 eV per atom. Its energy relative to the elements is -0.5 eV/f.u.


No. 3
Material: La3DyC8
Method: DFT, PBE
State: optimized geometry

abc: 3.8909 3.8909 12.9660
angles: 90.00 90.00 90.00
Positions (direct):
La 0.0000 0.0000 0.0000
La 0.5000 0.5000 0.2509
La 0.5000 0.5000 0.7491
Dy 0.0000 0.0000 0.5000
C 0.0000 0.0000 0.2076
C 0.0000 0.0000 0.3079
C 0.0000 0.0000 0.6921
C 0.0000 0.0000 0.7924
C 0.5000 0.5000 0.0500
C 0.5000 0.5000 0.4501
C 0.5000 0.5000 0.5499
C 0.5000 0.5000 0.9500

Computed properties:
The calculation puts the energy above the lowest structure with this stoichiometry at 0.0 meV per atom. The value obtained for the energy is -7.9098 eV per atom. Its energy relative to the elements is -1.7 eV/f.u.


No. 4
Material: LaDyC
Method: DFT, PBE
State: optimized geometry

abc: 3.6463 5.1080 8.2315
angles: 90.00 90.00 90.00
Positions (direct):
La 0.2500 0.2500 0.1704
La 0.7500 0.7500 0.8296
Dy 0.2500 0.2500 0.5894
Dy 0.7500 0.7500 0.4106
C 0.2500 0.7500 0.6190
C 0.7500 0.2500 0.3810

Computed properties:
The calculation puts the energy above the lowest structure with this stoichiometry at 7.7 meV per atom. The value obtained for the energy is -6.4240 eV per atom. Its energy relative to the elements is -0.5 eV/f.u.


No. 5
Material: La3DyC8
Method: DFT, PBE
State: optimized geometry

abc: 6.5277 6.5238 7.3853
angles: 55.56 55.51 68.92
Positions (direct):
La 0.0000 0.0000 0.0000
La 0.2506 0.2506 0.2494
La 0.7506 0.7506 0.7494
Dy 0.4999 0.4999 0.5001
C 0.1164 0.6398 0.8836
C 0.1256 0.4443 0.8744
C 0.3598 0.8824 0.1176
C 0.4443 0.1256 0.5557
C 0.5554 0.8738 0.1262
C 0.6398 0.1164 0.3602
C 0.8738 0.5554 0.4446
C 0.8824 0.3598 0.6402

Computed properties:
The calculation puts the energy above the lowest structure with this stoichiometry at 266.0 meV per atom. The value obtained for the energy is -7.6438 eV per atom. Its energy relative to the elements is 1.4 eV/f.u.


No. 6
Material: LaDy3C
Method: DFT, PBE
State: optimized geometry

abc: 5.0811 5.0811 5.0811
angles: 90.00 90.00 90.00
Positions (direct):
La 0.0000 0.0000 0.0000
Dy 0.0000 0.5000 0.5000
Dy 0.5000 0.0000 0.5000
Dy 0.5000 0.5000 0.0000
C 0.5000 0.5000 0.5000

Computed properties:
The value obtained for the energy is -5.5933 eV per atom. Its energy relative to the elements is 0.0 eV/f.u.


No. 7
Material: LaDy2C
Method: DFT, PBE
State: optimized geometry

abc: 10.2054 10.2054 10.2054
angles: 19.93 19.93 19.93
Positions (direct):
La 0.0000 0.0000 0.0000
Dy 0.1215 0.1215 0.1215
Dy 0.8785 0.8785 0.8785
C 0.5000 0.5000 0.5000

Computed properties:
The calculation puts the energy above the lowest structure with this stoichiometry at 64.4 meV per atom. The value obtained for the energy is -5.9562 eV per atom. Its energy relative to the elements is -0.5 eV/f.u.


No. 8
Material: LaDy3C2
Method: DFT, PBE
State: optimized geometry

abc: 7.2143 7.2143 6.4410
angles: 90.00 90.00 120.00
Positions (direct):
La 0.3333 0.6667 0.2386
La 0.6667 0.3333 0.7614
Dy 0.1675 0.3351 0.7942
Dy 0.1675 0.8325 0.7942
Dy 0.3351 0.1675 0.2058
Dy 0.6649 0.8325 0.7942
Dy 0.8325 0.1675 0.2058
Dy 0.8325 0.6649 0.2058
C 0.0000 0.0000 0.0000
C 0.0000 0.5000 0.0000
C 0.5000 0.0000 0.0000
C 0.5000 0.5000 0.0000

Computed properties:
The value obtained for the energy is -6.4040 eV per atom. Its energy relative to the elements is -1.2 eV/f.u.


No. 9
Material: LaDy2C
Method: DFT, PBE
State: optimized geometry

abc: 3.6037 3.6037 9.3740
angles: 90.00 90.00 120.00
Positions (direct):
La 0.0000 0.0000 0.0000
Dy 0.3333 0.6667 0.6445
Dy 0.6667 0.3333 0.3555
C 0.0000 0.0000 0.5000

Computed properties:
The calculation puts the energy above the lowest structure with this stoichiometry at 0.0 meV per atom. The value obtained for the energy is -6.0206 eV per atom. Its energy relative to the elements is -0.7 eV/f.u.


No. 10
Material: La2Dy2Pb2C
Method: DFT, PBE
State: optimized geometry

abc: 9.1419 9.1419 9.1419
angles: 148.84 148.84 44.65
Positions (direct):
La 0.1592 0.1592 0.0000
La 0.8408 0.8408 0.0000
Dy 0.0000 0.5000 0.5000
Dy 0.5000 0.0000 0.5000
Pb 0.3646 0.3646 0.0000
Pb 0.6354 0.6354 0.0000
C 0.0000 0.0000 0.0000

Computed properties:
The value obtained for the energy is -5.7166 eV per atom. Its energy relative to the elements is -4.3 eV/f.u.


No. 11
Material: LaDy2PbC
Method: DFT, PBE
State: optimized geometry

abc: 4.9612 4.9612 5.2048
angles: 90.00 90.00 90.00
Positions (direct):
La 0.0000 0.0000 0.0000
Dy 0.0000 0.5000 0.5000
Dy 0.5000 0.0000 0.5000
Pb 0.5000 0.5000 0.0000
C 0.0000 0.0000 0.5000

Computed properties:
The value obtained for the energy is -5.8848 eV per atom. Its energy relative to the elements is -2.4 eV/f.u.


No. 12
Material: La2DyPbC
Method: DFT, PBE
State: optimized geometry

abc: 5.2375 5.2375 4.9697
angles: 90.00 90.00 90.00
Positions (direct):
La 0.0000 0.5000 0.0000
La 0.5000 0.0000 0.0000
Dy 0.0000 0.0000 0.5000
Pb 0.5000 0.5000 0.5000
C 0.0000 0.0000 0.0000

Computed properties:
The value obtained for the energy is -5.9186 eV per atom. Its energy relative to the elements is -2.2 eV/f.u.


No. 13
Material: La2Dy2Sb2C
Method: DFT, PBE
State: optimized geometry

abc: 8.9720 8.9720 8.9720
angles: 148.71 148.71 44.84
Positions (direct):
La 0.1626 0.1626 0.0000
La 0.8374 0.8374 0.0000
Dy 0.0000 0.5000 0.5000
Dy 0.5000 0.0000 0.5000
Sb 0.3659 0.3659 0.0000
Sb 0.6341 0.6341 0.0000
C 0.0000 0.0000 0.0000

Computed properties:
As for the energy relative to the elements, uncorrected: -85.9 kJ/mol of atoms. The value obtained for the energy is -6.1085 eV per atom.


No. 14
Material: La2DySnC
Method: DFT, PBE
State: optimized geometry

abc: 5.2088 5.2088 4.9499
angles: 90.00 90.00 90.00
Positions (direct):
La 0.0000 0.5000 0.0000
La 0.5000 0.0000 0.0000
Dy 0.0000 0.0000 0.5000
Sn 0.5000 0.5000 0.5000
C 0.0000 0.0000 0.0000

Computed properties:
The value obtained for the energy is -6.0453 eV per atom. Its energy relative to the elements is -2.5 eV/f.u.